[1]
This record from the Alexandria database describes Ca2PtAu after structural relaxation. The functional is PBE.

Cell: 5.9741 5.9741 5.9741 Å, 142.05 135.08 60.22°
With the nearest neighbours (Å) after each atom.
Positions (direct):
Ca: 0.0000 0.0000 0.0000  4 Au 3.03, 2 Pt 3.17, 2 Ca 3.23
Ca: 0.7211 0.2211 0.5000  4 Pt 3.01, 2 Ca 3.23, 2 Au 3.32
Pt: 0.2430 0.7430 0.5000  2 Au 2.92, 6 Ca 3.01-3.17
Au: 0.4539 0.4539 0.0000  2 Pt 2.92, 4 Ca 3.03

Summary:
**Density of states at the Fermi level**: 1.889 states/eV/cell
**Total energy**: -4.032 eV/atom
**Total magnetization**: 0.0 μB/f.u.
**Formation energy**: -702 meV per atom

[2]
This record from the Alexandria database describes AcPaZn after structural relaxation. The functional is PBE.

Cell: 16.1099 3.4914 3.4914 Å, 60.01 90.00 90.00°
With the nearest neighbours (Å) after each atom.
Positions (direct):
Ac: 0.1659 0.0000 0.0000  3 Zn 3.35, 6 Ac 3.49, 3 Pa 3.65
Ac: 0.8341 0.0000 0.0000  3 Zn 3.35, 6 Ac 3.49, 3 Pa 3.65
Pa: 0.3548 0.6670 0.6670  3 Zn 3.09
Pa: 0.6452 0.6670 0.6670  3 Zn 3.09
Zn: 0.0000 0.6660 0.6660  6 Ac 3.35, 6 Zn 3.49
Zn: 0.5000 0.0004 0.0004  6 Pa 3.09

Summary:
**Density of states at the Fermi level**: 8.087 states/eV/cell
**Energy above the lowest structure with this stoichiometry**: 99 meV/atom
**Total energy**: -4.643 eV/atom
**Total magnetization**: 0.0 μB/f.u.
**Formation energy**: 317 meV per atom

[3]
This record from the Alexandria database describes KAs2Pt after structural relaxation. The functional is PBE.

Cell: 5.5640 5.5640 2.8662 Å, 90.16 90.16 114.99°
With the nearest neighbours (Å) after each atom.
Positions (direct):
K: 0.0000 0.0000 0.0000  2 K 2.87, 2 Pt 2.99, 8 As 3.13
As: 0.0000 0.5000 0.5000  4 As 2.87-2.99, 4 K 3.13, 4 Pt 3.13
As: 0.5000 0.0000 0.5000  4 As 2.87-2.99, 4 K 3.13, 4 Pt 3.13
Pt: 0.5000 0.5000 0.0000  2 Pt 2.87, 2 K 2.99, 8 As 3.13

Summary:
**Density of states at the Fermi level**: 2.185 states/eV/cell
**Energy above the lowest structure with this stoichiometry**: 674 meV/atom
**Total energy**: -3.881 eV/atom
**Total magnetization**: 0.0 μB/f.u.
**Formation energy**: 228 meV per atom

[4]
This record from the Alexandria database describes KBi2Pd6 after structural relaxation. The functional is PBE.

Cell: 4.0907 4.0907 11.9245 Å, 90.00 90.00 90.00°
With the nearest neighbours (Å) after each atom.
Positions (direct):
K: 0.0000 0.0000 0.0000  8 Bi 3.67, 4 K 4.09
Bi: 0.5000 0.5000 0.1893  4 Pd 2.71
Bi: 0.5000 0.5000 0.8107  4 Pd 2.71
Pd: 0.0000 0.0000 0.5000  12 Pd 2.81-2.89
Pd: 0.0000 0.5000 0.3386  2 Bi 2.71, 8 Pd 2.81-2.89
Pd: 0.0000 0.5000 0.6614  2 Bi 2.71, 8 Pd 2.81-2.89
Pd: 0.5000 0.0000 0.3386  2 Bi 2.71, 8 Pd 2.81-2.89
Pd: 0.5000 0.0000 0.6614  2 Bi 2.71, 8 Pd 2.81-2.89
Pd: 0.5000 0.5000 0.5000  12 Pd 2.81-2.89

Summary:
**Density of states at the Fermi level**: 7.270 states/eV/cell
**Total energy**: -4.626 eV/atom
**Total magnetization**: 0.0 μB/f.u.
**Formation energy**: -180 meV per atom

[5]
This record from the Alexandria database describes PmHo2Tm12 after structural relaxation. The functional is PBE.

Cell: 3.5725 5.5947 23.2344 Å, 90.00 94.37 90.00°
With the nearest neighbours (Å) after each atom.
Positions (direct):
Pm: 0.0000 0.0000 0.0000  2 Pm 3.57, 12 Tm 3.67-3.90
Ho: 0.1449 0.0000 0.2860  10 Tm 3.43-3.69, 2 Ho 3.57
Ho: 0.8551 0.0000 0.7140  10 Tm 3.43-3.69, 2 Ho 3.57
Tm: 0.0999 0.5000 0.1943  10 Tm 3.42-3.57, 2 Ho 3.51
Tm: 0.2222 0.5000 0.4431  8 Tm 3.18-3.35
Tm: 0.2866 0.0000 0.5749  8 Tm 3.34-3.66, 2 Ho 3.68-3.69
Tm: 0.3366 0.5000 0.6770  8 Tm 3.30-3.66, 4 Ho 3.43
Tm: 0.4224 0.0000 0.8505  8 Tm 3.37-3.57, 2 Ho 3.63
Tm: 0.4632 0.5000 0.9316  5 Tm 3.17-3.42
Tm: 0.5368 0.5000 0.0684  5 Tm 3.17-3.42
Tm: 0.5776 0.0000 0.1495  8 Tm 3.37-3.57, 2 Ho 3.63
Tm: 0.6634 0.5000 0.3230  8 Tm 3.30-3.66, 4 Ho 3.43
Tm: 0.7134 0.0000 0.4251  8 Tm 3.34-3.66, 2 Ho 3.68-3.69
Tm: 0.7778 0.5000 0.5569  8 Tm 3.18-3.35
Tm: 0.9001 0.5000 0.8057  10 Tm 3.42-3.57, 2 Ho 3.51

Summary:
**Density of states at the Fermi level**: 24.616 states/eV/cell
**Total energy**: -4.432 eV/atom
**Total magnetization**: 0.0 μB/f.u.
**Formation energy**: 72 meV per atom

[6]
This record from the Alexandria database describes NaLaBiAu after structural relaxation. The functional is PBE.

Cell: 5.4114 5.4114 5.4114 Å, 60.00 60.00 60.00°
With the nearest neighbours (Å) after each atom.
Positions (direct):
Na: 0.0000 0.0000 0.0000  4 Bi 3.31, 4 Au 3.31
La: 0.5000 0.5000 0.5000  4 Bi 3.31, 4 Au 3.31
Bi: 0.7500 0.7500 0.7500  4 Na 3.31, 4 La 3.31
Au: 0.2500 0.2500 0.2500  4 La 3.31, 4 Na 3.31

Summary:
**Total energy**: -4.025 eV/atom
**Total magnetization**: 0.0 μB/f.u.
**Formation energy**: -674 meV per atom

[7]
This record from the Alexandria database describes KBPb after structural relaxation. The functional is PBE.

Cell: 7.3948 7.3948 3.2250 Å, 90.18 90.18 104.97°
With the nearest neighbours (Å) after each atom.
Positions (direct):
K: 0.2488 0.7512 0.0000  2 B 3.03, 2 K 3.23
K: 0.7512 0.2488 0.0000  2 B 3.03, 2 K 3.23
B: 0.0002 0.0002 0.2565  2 B 1.57-1.65
B: 0.9998 0.9998 0.7435  2 B 1.57-1.65
Pb: 0.2847 0.2847 0.5011  2 B 2.68-2.69
Pb: 0.7153 0.7153 0.4989  2 B 2.68-2.69

Summary:
**Density of states at the Fermi level**: 2.155 states/eV/cell
**Energy above the lowest structure with this stoichiometry**: 57 meV/atom
**Total energy**: -3.633 eV/atom
**Total magnetization**: 0.0 μB/f.u.
**Formation energy**: 195 meV per atom

[8]
This record from the Alexandria database describes TlCd2Au after structural relaxation. The functional is PBE.

Cell: 15.7615 8.3096 5.9615 Å, 90.00 90.00 90.00°
With the nearest neighbours (Å) after each atom.
Positions (direct):
Tl: 0.1099 0.2500 0.2452  3 Au 3.09-3.28, 4 Cd 3.35-3.41
Tl: 0.1360 0.7500 0.0350  3 Au 3.14-3.22, 6 Cd 3.36-3.41
Tl: 0.3640 0.2500 0.5350  3 Au 3.14-3.22, 6 Cd 3.36-3.41
Tl: 0.3901 0.7500 0.7452  3 Au 3.09-3.28, 4 Cd 3.35-3.41
Tl: 0.6099 0.2500 0.2548  3 Au 3.09-3.28, 4 Cd 3.35-3.41
Tl: 0.6360 0.7500 0.4650  3 Au 3.14-3.22, 6 Cd 3.36-3.41
Tl: 0.8640 0.2500 0.9650  3 Au 3.14-3.22, 6 Cd 3.36-3.41
Tl: 0.8901 0.7500 0.7548  3 Au 3.09-3.28, 4 Cd 3.35-3.41
Cd: 0.0327 0.0482 0.7679  3 Au 2.89-2.91, 1 Cd 3.06
Cd: 0.0327 0.4518 0.7679  3 Au 2.89-2.91, 1 Cd 3.06
Cd: 0.2137 0.5452 0.5339  3 Au 2.85-2.88
Cd: 0.2137 0.9548 0.5339  3 Au 2.85-2.88
Cd: 0.2863 0.0452 0.0339  3 Au 2.85-2.88
Cd: 0.2863 0.4548 0.0339  3 Au 2.85-2.88
Cd: 0.4673 0.5482 0.2679  3 Au 2.89-2.91, 1 Cd 3.06
Cd: 0.4673 0.9518 0.2679  3 Au 2.89-2.91, 1 Cd 3.06
Cd: 0.5327 0.0482 0.7321  3 Au 2.89-2.91, 1 Cd 3.06
Cd: 0.5327 0.4518 0.7321  3 Au 2.89-2.91, 1 Cd 3.06
Cd: 0.7137 0.5452 0.9661  3 Au 2.85-2.88
Cd: 0.7137 0.9548 0.9661  3 Au 2.85-2.88
Cd: 0.7863 0.0452 0.4661  3 Au 2.85-2.88
Cd: 0.7863 0.4548 0.4661  3 Au 2.85-2.88
Cd: 0.9673 0.5482 0.2321  3 Au 2.89-2.91, 1 Cd 3.06
Cd: 0.9673 0.9518 0.2321  3 Au 2.89-2.91, 1 Cd 3.06
Au: 0.0664 0.7500 0.5279  6 Cd 2.88-2.91, 3 Tl 3.09-3.22
Au: 0.1825 0.2500 0.7616  6 Cd 2.85-2.90, 2 Tl 3.10-3.16
Au: 0.3175 0.7500 0.2616  6 Cd 2.85-2.90, 2 Tl 3.10-3.16
Au: 0.4336 0.2500 0.0279  6 Cd 2.88-2.91, 3 Tl 3.09-3.22
Au: 0.5664 0.7500 0.9721  6 Cd 2.88-2.91, 3 Tl 3.09-3.22
Au: 0.6825 0.2500 0.7384  6 Cd 2.85-2.90, 2 Tl 3.10-3.16
Au: 0.8175 0.7500 0.2384  6 Cd 2.85-2.90, 2 Tl 3.10-3.16
Au: 0.9336 0.2500 0.4721  6 Cd 2.88-2.91, 3 Tl 3.09-3.22

Summary:
**Density of states at the Fermi level**: 10.065 states/eV/cell
**Energy above the lowest structure with this stoichiometry**: 6 meV/atom
**Total energy**: -1.955 eV/atom
**Total magnetization**: 0.0 μB/f.u.
**Formation energy**: -86 meV per atom

[9]
This record from the Alexandria database describes La8Pr3Nd after structural relaxation. The functional is PBE.

Cell: 9.2538 9.2538 6.5713 Å, 110.59 110.59 58.27°
With the nearest neighbours (Å) after each atom.
Positions (direct):
La: 0.0692 0.0692 0.3177  2 Pr 3.39-3.76, 1 Nd 3.40, 6 La 3.57-3.79
La: 0.1714 0.1729 0.9187  7 La 3.41-3.68, 2 Pr 3.59-3.68
La: 0.5004 0.0017 0.6510  5 La 3.39-3.65, 1 Pr 3.44, 1 Nd 3.78
La: 0.5095 0.2362 0.3640  4 La 3.39-3.76, 1 Pr 3.50, 1 Nd 3.76
La: 0.7638 0.4905 0.6360  4 La 3.39-3.76, 1 Pr 3.50, 1 Nd 3.76
La: 0.8271 0.8286 0.0813  7 La 3.41-3.68, 2 Pr 3.59-3.68
La: 0.9308 0.9308 0.6823  2 Pr 3.39-3.76, 1 Nd 3.40, 6 La 3.57-3.79
La: 0.9983 0.4996 0.3490  5 La 3.39-3.65, 1 Pr 3.44, 1 Nd 3.78
Pr: 0.2350 0.5142 0.8867  4 La 3.44-3.76, 1 Nd 3.50, 2 Pr 3.71-3.74
Pr: 0.3091 0.6909 0.5000  4 La 3.39-3.50, 2 Pr 3.74
Pr: 0.4858 0.7650 0.1133  4 La 3.44-3.76, 1 Nd 3.50, 2 Pr 3.71-3.74
Nd: 0.6897 0.3103 0.0000  6 La 3.40-3.78, 2 Pr 3.50

Summary:
**Density of states at the Fermi level**: 20.798 states/eV/cell
**Total energy**: -4.787 eV/atom
**Total magnetization**: 0.0 μB/f.u.
**Formation energy**: 90 meV per atom

[10]
This record from the Alexandria database describes BeAlC2 after structural relaxation. The functional is PBE.

Cell: 6.0920 6.0920 6.0920 Å, 145.77 145.77 49.20°
With the nearest neighbours (Å) after each atom.
Positions (direct):
Be: 0.0000 0.0000 0.0000  4 C 1.71
Be: 0.7500 0.2500 0.5000  4 C 1.71
Al: 0.2500 0.7500 0.5000  4 C 2.13
Al: 0.5000 0.5000 0.0000  4 C 2.13
C: 0.3750 0.2493 0.3743  2 Be 1.71
C: 0.7507 0.1250 0.1257  2 Be 1.71
C: 0.8750 0.0007 0.6257  2 Be 1.71
C: 0.9993 0.6250 0.8743  2 Be 1.71

Summary:
**Density of states at the Fermi level**: 0.816 states/eV/cell
**Energy above the lowest structure with this stoichiometry**: 0 meV/atom
**Total energy**: -5.783 eV/atom
**Total magnetization**: 0.0 μB/f.u.
**Formation energy**: 696 meV per atom

[11]
This record from the Alexandria database describes PaZn2GeO8 after structural relaxation. The functional is PBE.

Cell: 5.8280 5.8280 5.8280 Å, 113.32 113.32 102.02°
With the nearest neighbours (Å) after each atom.
Positions (direct):
Pa: 0.0000 0.0000 0.0000  4 O 2.03
Zn: 0.5000 0.5000 0.0000  4 O 2.01
Zn: 0.7500 0.2500 0.5000  4 O 1.89
Ge: 0.2500 0.7500 0.5000  4 O 1.87
O: 0.2987 0.0847 0.7860  1 Ge 1.87, 1 Zn 2.01
O: 0.2987 0.5127 0.2140  1 Ge 1.87, 1 Zn 2.01
O: 0.3629 0.0515 0.3114  1 Zn 1.89, 1 Pa 2.03
O: 0.4873 0.7013 0.7860  1 Ge 1.87, 1 Zn 2.01
O: 0.7401 0.0515 0.6886  1 Zn 1.89, 1 Pa 2.03
O: 0.9153 0.7013 0.2140  1 Ge 1.87, 1 Zn 2.01
O: 0.9485 0.2599 0.3114  1 Zn 1.89, 1 Pa 2.03
O: 0.9485 0.6371 0.6886  1 Zn 1.89, 1 Pa 2.03

Summary:
**Density of states at the Fermi level**: 6.425 states/eV/cell
**Total energy**: -6.194 eV/atom
**Formation energy (no corrections)**: -18.01 eV/f.u.
**Total magnetization**: 1.3 μB/f.u.

[12]
This record from the Alexandria database describes AlCrTe2 after structural relaxation. The functional is PBE.

Cell: 7.3832 7.3832 7.3832 Å, 130.66 130.66 72.36°
With the nearest neighbours (Å) after each atom.
Positions (direct):
Al: 0.0000 0.0000 0.0000  4 Te 2.72
Al: 0.7500 0.2500 0.5000  4 Te 2.72
Cr: 0.2500 0.7500 0.5000  4 Te 2.57
Cr: 0.5000 0.5000 0.0000  4 Te 2.57
Te: 0.1462 0.6250 0.0212  2 Cr 2.57, 2 Al 2.72
Te: 0.3750 0.3962 0.5212  2 Cr 2.57, 2 Al 2.72
Te: 0.6038 0.1250 0.9788  2 Cr 2.57, 2 Al 2.72
Te: 0.8750 0.8538 0.4788  2 Cr 2.57, 2 Al 2.72

Summary:
**Density of states at the Fermi level**: 14.400 states/eV/cell
**Total energy**: -4.579 eV/atom
**Formation energy (no corrections)**: 1.33 eV/f.u.
**Total magnetization**: 0.2 μB/f.u.

Among the records above, which one has the highest total magnetization?
PaZn2GeO8

Which of these has the highest total energy?
TlCd2Au